Here is an optimized crystal structure of Pm4CI5 from the Alexandria database. Energies are from PBE-GGA.

Values from the calculation:
Energy relative to the elements, uncorrected ... -1.128 eV/atom
Density of states at the Fermi level ... 6.12 states/eV per cell
SG ... No. 12

Cell: 4.071 8.841 9.872 Å, 102.50 101.90 90.00°
Fractional coordinates of all 10 atoms:
Pm1 0.633 0.066 0.266
Pm2 0.999 0.193 0.998
Pm3 0.001 0.807 0.002
Pm4 0.367 0.934 0.734
I1 0.836 0.657 0.671
I2 0.164 0.343 0.329
I3 0.500 0.500 0.000
I4 0.831 0.179 0.661
I5 0.169 0.821 0.339
C1 0.500 0.000 0.000

Here is an optimized crystal structure of SnTeCl3 from the Alexandria database. Energies are from PBE-GGA.

Values from the calculation:
Energy relative to the elements, uncorrected ... -0.309 eV/atom
Density of states at the Fermi level ... 4.82 states/eV per cell
SG ... No. 221

Cell: 5.472 5.472 5.472 Å, 90.00 90.00 90.00°
Site moments in Bohr magnetons follow the coordinates.
Fractional coordinates of all 5 atoms:
Sn1 0.000 0.000 0.000  0.00
Cl1 0.500 0.000 0.000  0.09
Cl2 0.000 0.000 0.500  0.11
Cl3 0.000 0.500 0.000  0.06
Te1 0.500 0.500 0.500  1.29

Here is an optimized crystal structure of Cs10Rb6Au from the Alexandria database. Energies are from PBE-GGA.

Values from the calculation:
Density of states at the Fermi level ... 16.23 states/eV per cell
SG ... No. 162
Energy of formation ... -22 meV per atom

Cell: 9.565 14.198 14.198 Å, 120.00 90.00 90.00°
Fractional coordinates of all 17 atoms:
Cs1 0.727 0.214 0.000
Cs2 0.500 0.667 0.333
Cs3 0.500 0.333 0.667
Cs4 0.273 0.000 0.786
Cs5 0.727 0.000 0.214
Cs6 0.000 0.667 0.333
Cs7 0.000 0.333 0.667
Cs8 0.727 0.786 0.786
Cs9 0.273 0.214 0.214
Cs10 0.273 0.786 0.000
Rb1 0.758 0.408 0.408
Rb2 0.758 0.000 0.592
Rb3 0.242 0.592 0.592
Rb4 0.758 0.592 0.000
Rb5 0.242 0.000 0.408
Rb6 0.242 0.408 0.000
Au1 0.500 0.000 0.000

Here is an optimized crystal structure of Gd2YEr from the Alexandria database. Energies are from PBE-GGA.

Values from the calculation:
Density of states at the Fermi level ... 6.83 states/eV per cell
SG ... No. 166
Energy of formation ... 28 meV per atom

Cell: 3.559 3.559 11.792 Å, 81.32 81.32 60.00°
Site moments in Bohr magnetons follow the coordinates.
Fractional coordinates of all 4 atoms:
Er1 0.000 0.000 0.000  -0.05
Gd1 0.749 0.749 0.752  7.13
Gd2 0.251 0.251 0.248  7.13
Y1 0.500 0.500 0.500  -0.04

Here is an optimized crystal structure of CrAgRu from the Alexandria database. Energies are from PBE-GGA.

Values from the calculation:
Density of states at the Fermi level ... 3.53 states/eV per cell
SG ... No. 216
Energy of formation ... 797 meV per atom

Cell: 4.166 4.166 4.166 Å, 60.00 60.00 60.00°
Site moments in Bohr magnetons follow the coordinates.
Fractional coordinates of all 3 atoms:
Cr1 0.750 0.750 0.750  2.44
Ru1 0.000 0.000 0.000  -0.75
Ag1 0.500 0.500 0.500  0.10

Here is an optimized crystal structure of Tl2CuReS4 from the Alexandria database. Energies are from PBE-GGA.

Values from the calculation:
Energy relative to the elements, uncorrected ... -0.240 eV/atom
Density of states at the Fermi level ... 3.75 states/eV per cell
SG ... No. 82

Cell: 6.613 6.613 6.613 Å, 92.68 118.47 118.47°
Fractional coordinates of all 8 atoms:
Tl1 0.500 0.750 0.250
Tl2 0.000 0.000 0.000
S1 0.384 0.868 0.769
S2 0.901 0.516 0.132
S3 0.099 0.231 0.615
S4 0.616 0.385 0.484
Cu1 0.500 0.250 0.750
Re1 0.000 0.500 0.500

Here is an optimized crystal structure of Sm3Cd2Ru from the Alexandria database. Energies are from PBE-GGA.

Values from the calculation:
Density of states at the Fermi level ... 9.12 states/eV per cell
SG ... No. 12
Energy of formation ... -182 meV per atom

Cell: 7.858 6.710 8.042 Å, 84.22 80.09 54.16°
Fractional coordinates of all 12 atoms:
Sm1 0.672 0.000 0.831
Sm2 0.544 0.364 0.229
Sm3 0.908 0.636 0.229
Sm4 0.092 0.364 0.771
Sm5 0.456 0.636 0.771
Sm6 0.328 0.000 0.169
Ru1 0.710 0.579 0.000
Ru2 0.290 0.421 0.000
Cd1 0.000 0.000 0.000
Cd2 0.130 0.740 0.500
Cd3 0.870 0.260 0.500
Cd4 0.500 0.000 0.500

Here is an optimized crystal structure of Cs2Sb2As2Pb5 from the Alexandria database. Energies are from PBE-GGA.

Values from the calculation:
Energy relative to the elements, uncorrected ... -0.030 eV/atom
Density of states at the Fermi level ... 3.56 states/eV per cell
SG ... No. 139

Cell: 5.379 5.379 17.709 Å, 98.74 98.74 90.00°
Fractional coordinates of all 11 atoms:
As1 0.918 0.918 0.835
As2 0.082 0.082 0.165
Cs1 0.790 0.790 0.581
Cs2 0.210 0.210 0.419
Pb1 0.619 0.119 0.238
Pb2 0.881 0.381 0.762
Pb3 0.119 0.619 0.238
Pb4 0.381 0.881 0.762
Pb5 0.000 0.000 0.000
Sb1 0.672 0.672 0.345
Sb2 0.328 0.328 0.655

Number 1: total DFT energy (no corrections) -4.73 eV/atom, total magnetization 0.00 μB per cell. Number 2: total DFT energy (no corrections) -2.85 eV/atom, total magnetization 2.71 μB per cell. Number 3: total DFT energy (no corrections) -1.06 eV/atom, total magnetization 0.00 μB per cell. Number 4: total DFT energy (no corrections) -9.77 eV/atom, total magnetization 14.57 μB per cell. Number 5: total DFT energy (no corrections) -6.45 eV/atom, total magnetization 1.90 μB per cell. Number 6: total DFT energy (no corrections) -4.96 eV/atom, total magnetization 0.00 μB per cell. Number 7: total DFT energy (no corrections) -4.39 eV/atom, total magnetization 0.00 μB per cell. Number 8: total DFT energy (no corrections) -3.47 eV/atom, total magnetization 0.00 μB per cell.